DFT (GGA-PBE) results for an optimized crystal structure of CdTe2As.

a = 5.2170 Å, b = 5.2170 Å, c = 5.2170 Å
α = 60.00°, β = 60.00°, γ = 60.00°
Fractional coordinates of all 4 atoms:
Cd (0.0000, 0.0000, 0.0000)
Te (0.2500, 0.2500, 0.2500)
Te (0.7500, 0.7500, 0.7500)
As (0.5000, 0.5000, 0.5000)

SG = Fm-3m, No. 225
D(E_F) = 3.01 states/eV/cell
Polymorph energy (0 for the lowest one) = 1.44 eV/f.u.
Theoretical density = 7.32 g/cm3
Total magnetization = 0.00 μB/atom